No. 1
An optimized crystal structure of Ac5Ir4, computed with PBE.

Lattice parameters (Å, degrees): 6.0673 7.4807 7.4807 80.53 66.08 66.08
Fractional coordinates of all 9 atoms:
Ac  0.6861  0.2106  0.4171
Ac  0.8968  0.4171  0.7894
Ac  0.5000  0.0000  0.0000
Ir  0.3957  0.3966  0.8120
Ac  0.3139  0.7894  0.5829
Ir  0.7923  0.8120  0.6034
Ac  0.1032  0.5829  0.2106
Ir  0.2077  0.1880  0.3966
Ir  0.6043  0.6034  0.1880

space group = No. 87
E = -6.777 eV/atom
DOS(E_F) = 4.03 states/eV/cell
formation energy = -5.006 eV/f.u.

---

No. 2
An optimized crystal structure of Ac3Ir2, computed with PBE.

Lattice parameters (Å, degrees): 3.7561 3.7561 11.2288 99.63 99.63 90.00
Fractional coordinates of all 5 atoms:
Ac  0.8354  0.8354  0.6709
Ac  0.1646  0.1646  0.3291
Ir  0.4099  0.4099  0.8199
Ac  0.0000  0.0000  0.0000
Ir  0.5901  0.5901  0.1801

polymorph energy (0 for the lowest one) = 0.1798 eV per atom
space group = No. 139
E = -6.433 eV/atom
DOS(E_F) = 2.67 states/eV/cell
formation energy = -2.120 eV/f.u.

---

No. 3
An optimized crystal structure of Ac4Ir, computed with PBE.

Lattice parameters (Å, degrees): 5.9581 5.9581 5.9581 90.00 90.00 90.00
Fractional coordinates of all 5 atoms:
Ac  0.0000  0.0000  0.0000
Ac  0.5000  0.5000  0.0000
Ir  0.5000  0.5000  0.5000
Ac  0.0000  0.5000  0.5000
Ac  0.5000  0.0000  0.5000

polymorph energy (0 for the lowest one) = 0.0606 eV per atom
space group = No. 221
E = -5.307 eV/atom
DOS(E_F) = 9.38 states/eV/cell
formation energy = -1.240 eV/f.u.

---

No. 4
An optimized crystal structure of Ac2Ir3, computed with PBE.

Lattice parameters (Å, degrees): 4.6554 5.5392 5.8256 118.39 113.54 90.00
Fractional coordinates of all 5 atoms:
Ac  0.1978  0.6979  0.3957
Ir  0.0000  0.0000  0.0000
Ac  0.8022  0.3021  0.6043
Ir  0.5000  0.7487  0.0000
Ir  0.5000  0.2513  0.0000

space group = No. 71
E = -7.489 eV/atom
DOS(E_F) = 6.11 states/eV/cell
formation energy = -2.645 eV/f.u.

---

Which of these has the lowest E?
Ac2Ir3

---

What is the formula in the fourth record?
Ac2Ir3

---

The highest E belongs to which entry?
Ac4Ir

---

Which value of formation energy does entry 1 give?
-5.006 eV/f.u.